First-principles (PBE) data for AlFe2Ge after structural relaxation, as listed in OQMD via LeMat-Bulk.

Calculated values
The crystal system is cubic. For the total energy, the calculation gives -103.34 eV/cell. For the total magnetization, the calculation gives 0.4 μB/f.u. Its space-group type is No. 221.

abc: 5.7350 5.7350 5.7350
angles: 90.00 90.00 90.00
Closest atoms and distances in Å follow each position.
Fractional positions:
Fe: 0.7547 0.7547 0.2453  4 Ge 2.44-2.47, 4 Al 2.50-2.53
Fe: 0.7547 0.2453 0.7547  4 Ge 2.44-2.47, 4 Al 2.50-2.53
Fe: 0.2453 0.2453 0.7547  4 Ge 2.44-2.47, 4 Al 2.50-2.53
Fe: 0.2453 0.7547 0.2453  4 Ge 2.44-2.47, 4 Al 2.50-2.53
Fe: 0.7547 0.2453 0.2453  4 Ge 2.44-2.47, 4 Al 2.50-2.53
Fe: 0.7547 0.7547 0.7547  4 Ge 2.44-2.47, 4 Al 2.50-2.53
Fe: 0.2453 0.7547 0.7547  4 Ge 2.44-2.47, 4 Al 2.50-2.53
Fe: 0.2453 0.2453 0.2453  4 Ge 2.44-2.47, 4 Al 2.50-2.53
Ge: 0.5000 0.0000 0.0000  8 Fe 2.47
Ge: 0.0000 0.5000 0.0000  8 Fe 2.47
Ge: 0.0000 0.0000 0.0000  8 Fe 2.44
Ge: 0.0000 0.0000 0.5000  8 Fe 2.47
Al: 0.5000 0.5000 0.0000  8 Fe 2.50
Al: 0.5000 0.5000 0.5000  8 Fe 2.53
Al: 0.5000 0.0000 0.5000  8 Fe 2.50
Al: 0.0000 0.5000 0.5000  8 Fe 2.50